Entry 1:
Compound: AlRe2Pt
Source: Alexandria via LeMat-Bulk
Functional: GGA-PBEsol
Structure: optimized geometry

Geometry as POSCAR:
```
AlRe2Pt
1.0
-1.9677 1.9677 3.7306
1.9677 -1.9677 3.7306
1.9677 1.9677 -3.7306
Al Re Pt
1 2 1
Cartesian
0.0000 0.0000 0.0000
1.9677 0.0000 1.8653
0.0000 0.0000 3.7306
0.0000 1.9677 1.8653
```

Output
energy above the most stable polymorph in this dataset	0	meV per atom
spin magnetization	0.00	μB/cell
Fermi-level density of states	4.447	states/eV/f.u.
energy of formation from the pure elements	-0.5	eV/f.u.

***

Entry 2:
Compound: AlRePt
Source: Alexandria via LeMat-Bulk
Functional: GGA-PBEsol
Structure: optimized geometry

Geometry as POSCAR:
```
AlRePt
1.0
4.3130 0.0000 0.0000
-2.1565 3.7352 0.0000
0.0000 0.0000 2.6894
Al Re Pt
1 1 1
Cartesian
0.0000 0.0000 0.0000
2.1565 1.2451 1.3447
0.0000 2.4901 0.0000
```

Output
spin magnetization	0.00	μB/cell
Fermi-level density of states	3.459	states/eV/f.u.
energy of formation from the pure elements	-0.4	eV/f.u.

***

Entry 3:
Compound: AlRe2Pt
Source: Alexandria via LeMat-Bulk
Functional: GGA-PBEsol
Structure: optimized geometry

Geometry as POSCAR:
```
AlRe2Pt
1.0
-1.8817 1.8817 4.0778
1.8817 -1.8817 4.0778
1.8817 1.8817 -4.0778
Al Re Pt
1 2 1
Cartesian
0.0000 0.0000 0.0000
1.8817 0.0000 2.0389
0.0000 1.8817 2.0389
0.0000 0.0000 4.0778
```

Output
energy above the most stable polymorph in this dataset	49	meV per atom
spin magnetization	0.00	μB/cell
Fermi-level density of states	4.429	states/eV/f.u.
energy of formation from the pure elements	-0.3	eV/f.u.

***

Entry 4:
Compound: AlRe2Pt
Source: Alexandria via LeMat-Bulk
Functional: GGA-PBEsol
Structure: optimized geometry

Geometry as POSCAR:
```
AlRe2Pt
1.0
2.7957 0.0000 0.0000
0.0000 4.0710 0.0000
0.0000 0.0000 5.1203
Al Re Pt
1 2 1
Cartesian
0.0000 0.0000 0.0000
1.3978 2.0355 1.2232
1.3978 2.0355 3.8971
0.0000 0.0000 2.5601
```

Output
energy above the most stable polymorph in this dataset	103	meV per atom
spin magnetization	0.00	μB/cell
Fermi-level density of states	3.586	states/eV/f.u.
energy of formation from the pure elements	-0.1	eV/f.u.

***

Entry 5:
Compound: SrAlRePt2
Source: Alexandria via LeMat-Bulk
Functional: GGA-PBEsol
Structure: optimized geometry

Geometry as POSCAR:
```
SrAlRePt2
1.0
5.0142 0.0000 0.0000
0.0000 5.0142 0.0000
0.0000 0.0000 5.0613
Sr Al Re Pt
1 1 1 2
Cartesian
0.0000 0.0000 0.0000
0.0000 0.0000 2.5306
2.5071 2.5071 2.5306
0.0000 2.5071 0.0000
2.5071 0.0000 0.0000
```

Output
spin magnetization	3.93	μB/cell
Fermi-level density of states	4.035	states/eV/f.u.
energy of formation from the pure elements	12.6	eV/f.u.

***

Entry 6:
Compound: Al2PtRh
Source: Alexandria via LeMat-Bulk
Functional: GGA-PBEsol
Structure: optimized geometry

Geometry as POSCAR:
```
Al2PtRh
1.0
2.9128 0.0000 0.0000
0.0000 3.2812 0.0000
0.0000 0.0000 5.7292
Al Pt Rh
2 1 1
Cartesian
0.0000 0.0000 1.3897
0.0000 0.0000 4.3394
1.4564 1.6406 2.8646
1.4564 1.6406 0.0000
```

Output
spin magnetization	0.00	μB/cell
Fermi-level density of states	1.167	states/eV/f.u.
energy of formation from the pure elements	-4.1	eV/f.u.

***

Entry 7:
Compound: Al3PtRh
Source: Alexandria via LeMat-Bulk
Functional: GGA-PBEsol
Structure: optimized geometry

Geometry as POSCAR:
```
Al3PtRh
1.0
4.6029 0.0000 0.0000
0.0000 4.6029 0.0000
0.0000 0.0000 4.6029
Al Pt Rh
3 1 1
Cartesian
0.0000 0.0000 2.3015
0.0000 2.3015 0.0000
2.3015 0.0000 0.0000
0.0000 0.0000 0.0000
2.3015 2.3015 2.3015
```

Output
spin magnetization	0.27	μB/cell
Fermi-level density of states	5.214	states/eV/f.u.
energy of formation from the pure elements	1.0	eV/f.u.

***

Entry 8:
Compound: Al2PtRh
Source: Alexandria via LeMat-Bulk
Functional: GGA-PBEsol
Structure: optimized geometry

Geometry as POSCAR:
```
Al2PtRh
1.0
-2.0227 2.0227 3.3398
2.0227 -2.0227 3.3398
2.0227 2.0227 -3.3398
Al Pt Rh
2 1 1
Cartesian
2.0227 0.0000 1.6699
0.0000 2.0227 1.6699
0.0000 0.0000 0.0000
0.0000 0.0000 3.3398
```

Output
spin magnetization	0.00	μB/cell
Fermi-level density of states	0.924	states/eV/f.u.
energy of formation from the pure elements	-4.1	eV/f.u.

***

Entry 9:
Compound: Al2PtRh
Source: Alexandria via LeMat-Bulk
Functional: GGA-PBEsol
Structure: optimized geometry

Geometry as POSCAR:
```
Al2PtRh
1.0
2.8606 -3.2714 0.0000
2.8606 3.2714 0.0000
0.0000 0.0000 2.9300
Al Pt Rh
2 1 1
Cartesian
1.4303 1.6357 0.0000
1.4303 -1.6357 0.0000
0.0000 0.0000 1.4650
2.8606 0.0000 1.4650
```

Output
spin magnetization	0.00	μB/cell
Fermi-level density of states	1.165	states/eV/f.u.
energy of formation from the pure elements	-4.0	eV/f.u.

***

Entry 10:
Compound: Al2PtRh
Source: Alexandria via LeMat-Bulk
Functional: GGA-PBEsol
Structure: optimized geometry

Geometry as POSCAR:
```
Al2PtRh
1.0
4.0300 0.0000 0.0000
0.0000 4.0300 0.0000
0.0000 0.0000 3.3678
Al Pt Rh
2 1 1
Cartesian
0.0000 2.0150 0.0000
2.0150 0.0000 0.0000
0.0000 0.0000 1.6839
2.0150 2.0150 1.6839
```

Output
spin magnetization	0.00	μB/cell
Fermi-level density of states	0.969	states/eV/f.u.
energy of formation from the pure elements	-4.1	eV/f.u.

***

Entry 11:
Compound: Al2SiPtRh
Source: Alexandria via LeMat-Bulk
Functional: GGA-PBEsol
Structure: optimized geometry

Geometry as POSCAR:
```
Al2SiPtRh
1.0
4.5774 0.0000 0.0000
0.0000 4.5774 0.0000
0.0000 0.0000 4.3908
Al Si Pt Rh
2 1 1 1
Cartesian
0.0000 2.2887 0.0000
2.2887 0.0000 0.0000
0.0000 0.0000 2.1954
2.2887 2.2887 2.1954
0.0000 0.0000 0.0000
```

Output
spin magnetization	0.00	μB/cell
Fermi-level density of states	1.796	states/eV/f.u.
E_form (uncorrected)	41	kJ/mol of formula units

***

Entry 12:
Compound: AlRuPt3
Source: Alexandria via LeMat-Bulk
Functional: GGA-PBEsol
Structure: optimized geometry

Geometry as POSCAR:
```
AlRuPt3
1.0
4.7127 0.0000 0.0000
0.0000 4.7127 0.0000
0.0000 0.0000 4.7127
Al Ru Pt
1 1 3
Cartesian
0.0000 0.0000 0.0000
2.3563 2.3563 2.3563
0.0000 2.3563 2.3563
2.3563 0.0000 2.3563
2.3563 2.3563 0.0000
```

Output
spin magnetization	0.00	μB/cell
Fermi-level density of states	5.413	states/eV/f.u.
energy of formation from the pure elements	6.7	eV/f.u.